An optimized crystal structure of LiTbPrCu, computed with PBE-GGA.

a = 5.1449 Å, b = 5.1449 Å, c = 5.1449 Å
α = 60.00°, β = 60.00°, γ = 60.00°
Atoms (fractional coordinates):
1 Li 0.0000 0.0000 0.0000
2 Tb 0.2500 0.2500 0.2500
3 Pr 0.7500 0.7500 0.7500
4 Cu 0.5000 0.5000 0.5000

Computed properties:
Magnetic moment (μB per cell): 0.00
SG: F-43m, No. 216
Uncorrected energy (eV/atom): -3.85
N(E_F) (states/eV/cell): 5.4

***

An optimized crystal structure of LiPrThCu, computed with PBE-GGA.

a = 5.1647 Å, b = 5.1647 Å, c = 5.1647 Å
α = 60.00°, β = 60.00°, γ = 60.00°
Atoms (fractional coordinates):
1 Li 0.0000 0.0000 0.0000
2 Pr 0.7500 0.7500 0.7500
3 Th 0.2500 0.2500 0.2500
4 Cu 0.5000 0.5000 0.5000

Computed properties:
Magnetic moment (μB per cell): 0.00
SG: F-43m, No. 216
Uncorrected energy (eV/atom): -4.44
N(E_F) (states/eV/cell): 6.8